Here is crystalline NaTiO3 at its relaxed geometry from the Alexandria database. Energies are from PBE.

For the total energy, the calculation gives -127.983 eV/cell. The density comes out at 2992 kg/m³. The volume comes out at 13.2 A^3/atom.

The space group is I-4m2 (No. 119) and the conventional cell measures 3.4799, 3.4799 and 21.7878 Å, with angles of 90.00, 90.00 and 90.00 degrees. The asymmetric unit holds Na at (0.0000, 0.0000, 0.0000), Na at (0.0000, 0.5000, 0.2500), Ti at (0.0000, 0.5000, 0.6323), O at (0.0000, 0.0000, 0.3205) and O at (0.0000, 0.2647, 0.0958).